Crystalline CsLuSeO at its relaxed geometry, computed with PBE-GGA.

## Properties
DFT total energy = -5.272 eV/atom

Unit cell a=4.600 b=4.600 c=10.955 alpha=90.00 beta=90.00 gamma=90.00
Space group P4/nmm (No. 129, origin choice 2)
One atom of each set of equivalent atoms:
Cs 0.250 0.750 0.000 [2 per cell]
Lu 0.250 0.250 0.454 [2 per cell]
Se 0.250 0.250 0.220 [2 per cell]
O 0.250 0.750 0.500 [2 per cell]